[1]
MnSiOs2: relaxed, PBE-GGA.

ΔE_f (raw): -0.011 eV/atom
magnetic moment: 0.773 μB/atom

The structure in CIF format:
```
data_MnSiOs2
_cell_length_a 2.803
_cell_length_b 3.792
_cell_length_c 5.310
_cell_angle_alpha 90.00
_cell_angle_beta 102.55
_cell_angle_gamma 90.00
_space_group_name_H-M_alt 'P 1 2/m 1'
_space_group_IT_number 10
_space_group_name_Hall '-P 2y'
loop_
_atom_site_label
_atom_site_fract_x
_atom_site_fract_y
_atom_site_fract_z
_atom_site_occupancy
Mn1 0.000 0.000 0.000 1
Si1 0.000 0.000 0.500 1
Os1 0.370 0.500 0.741 1
```

[2]
CsRe3Si: relaxed, PBE-GGA.

ΔE_f (raw): 4.292 eV/atom
E above lowest polymorph: 2266 meV/atom
magnetic moment: 0.696 μB/atom

The structure in CIF format:
```
data_CsRe3Si
_cell_length_a 4.938
_cell_length_b 4.938
_cell_length_c 4.938
_cell_angle_alpha 90.00
_cell_angle_beta 90.00
_cell_angle_gamma 90.00
_space_group_name_H-M_alt 'P m -3 m'
_space_group_IT_number 221
_space_group_name_Hall '-P 4 2 3'
loop_
_atom_site_label
_atom_site_fract_x
_atom_site_fract_y
_atom_site_fract_z
_atom_site_occupancy
Cs1 0.000 0.000 0.000 1
Re1 0.000 0.000 0.500 1
Si1 0.500 0.500 0.500 1
```

[3]
ZrScPI2: relaxed, PBE-GGA.

ΔE_f (raw): 0.601 eV/atom
magnetic moment: 0.710 μB/atom

The structure in CIF format:
```
data_ZrScPI2
_cell_length_a 5.673
_cell_length_b 5.673
_cell_length_c 4.851
_cell_angle_alpha 90.00
_cell_angle_beta 90.00
_cell_angle_gamma 90.00
_space_group_name_H-M_alt 'P 4/m m m'
_space_group_IT_number 123
_space_group_name_Hall '-P 4 2'
loop_
_atom_site_label
_atom_site_fract_x
_atom_site_fract_y
_atom_site_fract_z
_atom_site_occupancy
Zr1 0.000 0.000 0.000 1
Sc1 0.500 0.500 0.000 1
P1 0.500 0.500 0.500 1
I1 0.000 0.500 0.500 1
```

[4]
BaUTe3Pd: relaxed, PBE-GGA.

ΔE_f (raw): -0.961 eV/atom
magnetic moment: 0.361 μB/atom

The structure in CIF format:
```
data_BaUTe3Pd
_cell_length_a 9.274
_cell_length_b 4.434
_cell_length_c 10.071
_cell_angle_alpha 90.00
_cell_angle_beta 107.22
_cell_angle_gamma 90.00
_space_group_name_H-M_alt 'P 1 21/m 1'
_space_group_IT_number 11
_space_group_name_Hall '-P 2yb'
loop_
_atom_site_label
_atom_site_fract_x
_atom_site_fract_y
_atom_site_fract_z
_atom_site_occupancy
Ba1 0.195 0.250 0.258 1
U1 0.317 0.750 0.837 1
Te1 0.103 0.250 0.875 1
Te2 0.227 0.750 0.529 1
Te3 0.446 0.750 0.163 1
Pd1 0.090 0.250 0.598 1
```

[5]
DyPuTe2O: relaxed, PBE-GGA.

ΔE_f (raw): -1.853 eV/atom
magnetic moment: 0.968 μB/atom

The structure in CIF format:
```
data_DyPuTe2O
_cell_length_a 4.162
_cell_length_b 4.162
_cell_length_c 15.574
_cell_angle_alpha 90.00
_cell_angle_beta 90.00
_cell_angle_gamma 90.00
_space_group_name_H-M_alt 'P 4/n m m'
_space_group_IT_number 129
loop_
_space_group_symop_operation_xyz
'x,y,z'
'-x,-y,-z'
'-y+1/2,x,z'
'y+1/2,-x,-z'
'-x+1/2,-y+1/2,z'
'x+1/2,y+1/2,-z'
'y,-x+1/2,z'
'-y,x+1/2,-z'
'x+1/2,-y,-z'
'-x+1/2,y,z'
'-y,-x,-z'
'y,x,z'
'-x,y+1/2,-z'
'x,-y+1/2,z'
'y+1/2,x+1/2,-z'
'-y+1/2,-x+1/2,z'
loop_
_atom_site_label
_atom_site_fract_x
_atom_site_fract_y
_atom_site_fract_z
_atom_site_occupancy
Dy1 0.250 0.250 0.130 1
Pu1 0.250 0.250 0.569 1
Te1 0.250 0.250 0.317 1
Te2 0.250 0.250 0.915 1
O1 0.250 0.750 0.500 1
```

[6]
BiPb2Cl7: relaxed, PBE-GGA.

ΔE_f (raw): -1.039 eV/atom
magnetic moment: 0.000 μB/atom

The structure in CIF format:
```
data_BiPb2Cl7
_cell_length_a 16.130
_cell_length_b 8.466
_cell_length_c 10.827
_cell_angle_alpha 90.00
_cell_angle_beta 122.38
_cell_angle_gamma 90.00
_space_group_name_H-M_alt 'C 1 2/c 1'
_space_group_IT_number 15
_space_group_name_Hall '-C 2yc'
loop_
_atom_site_label
_atom_site_fract_x
_atom_site_fract_y
_atom_site_fract_z
_atom_site_occupancy
Bi1 0.000 0.100 0.250 1
Pb1 0.238 0.477 0.889 1
Cl1 0.000 0.401 0.250 1
Cl2 0.089 0.148 0.543 1
Cl3 0.123 0.231 0.929 1
Cl4 0.196 0.128 0.329 1
```

[7]
Li2CaMgAg4: relaxed, PBE-GGA.

magnetic moment: 0.000 μB/atom
energy of formation from the pure elements: -210 meV/atom

The structure in CIF format:
```
data_Li2CaMgAg4
_cell_length_a 4.6242
_cell_length_b 4.6242
_cell_length_c 25.8996
_cell_angle_alpha 90.00
_cell_angle_beta 90.00
_cell_angle_gamma 120.00
_space_group_name_H-M_alt 'R -3 m'
_space_group_IT_number 166
_space_group_name_Hall '-R 3 2"'
loop_
_atom_site_label
_atom_site_fract_x
_atom_site_fract_y
_atom_site_fract_z
_atom_site_occupancy
Li1 0.0000 0.0000 0.2394 1
Ca1 0.0000 0.0000 0.0000 1
Mg1 0.0000 0.0000 0.5000 1
Ag1 0.0000 0.0000 0.1260 1
Ag2 0.0000 0.0000 0.3957 1
```

[8]
NdTlPbAu: relaxed, PBE-GGA.

magnetic moment: 0.000 μB/atom
energy of formation from the pure elements: -339 meV/atom

The structure in CIF format:
```
data_NdTlPbAu
_cell_length_a 7.539
_cell_length_b 7.539
_cell_length_c 7.539
_cell_angle_alpha 90.00
_cell_angle_beta 90.00
_cell_angle_gamma 90.00
_space_group_name_H-M_alt 'F -4 3 m'
_space_group_IT_number 216
_space_group_name_Hall 'F -4 2 3'
loop_
_atom_site_label
_atom_site_fract_x
_atom_site_fract_y
_atom_site_fract_z
_atom_site_occupancy
Nd1 0.000 0.000 0.000 1
Tl1 0.250 0.250 0.250 1
Pb1 0.000 0.000 0.500 1
Au1 0.250 0.250 0.750 1
```

[9]
KU2F9: relaxed, PBE-GGA.

ΔE_f (raw): -3.521 eV/atom
magnetic moment: 0.333 μB/atom

The structure in CIF format:
```
data_KU2F9
_cell_length_a 8.755
_cell_length_b 11.571
_cell_length_c 7.086
_cell_angle_alpha 90.00
_cell_angle_beta 90.00
_cell_angle_gamma 90.00
_space_group_name_H-M_alt 'P n m a'
_space_group_IT_number 62
_space_group_name_Hall '-P 2ac 2n'
loop_
_atom_site_label
_atom_site_fract_x
_atom_site_fract_y
_atom_site_fract_z
_atom_site_occupancy
K1 0.036 0.250 0.145 1
U1 0.175 0.050 0.653 1
F1 0.004 0.599 0.573 1
F2 0.067 0.578 0.198 1
F3 0.173 0.250 0.662 1
F4 0.208 0.095 0.972 1
F5 0.214 0.607 0.853 1
```

[10]
Mn2VSb: relaxed, PBE-GGA.

ΔE_f (raw): 0.060 eV/atom
magnetic moment: 0.000 μB/atom

The structure in CIF format:
```
data_Mn2VSb
_cell_length_a 4.180
_cell_length_b 4.180
_cell_length_c 3.089
_cell_angle_alpha 90.00
_cell_angle_beta 90.00
_cell_angle_gamma 90.00
_space_group_name_H-M_alt 'P 4/m m m'
_space_group_IT_number 123
_space_group_name_Hall '-P 4 2'
loop_
_atom_site_label
_atom_site_fract_x
_atom_site_fract_y
_atom_site_fract_z
_atom_site_occupancy
Mn1 0.000 0.500 0.000 1
V1 0.000 0.000 0.500 1
Sb1 0.500 0.500 0.500 1
```

[11]
Dy4Tm10Zr: relaxed, PBE-GGA.

magnetic moment: 0.000 μB/atom
energy of formation from the pure elements: 247 meV/atom

The structure in CIF format:
```
data_Dy4Tm10Zr
_cell_length_a 11.053
_cell_length_b 11.053
_cell_length_c 7.645
_cell_angle_alpha 90.00
_cell_angle_beta 90.00
_cell_angle_gamma 90.00
_space_group_name_H-M_alt 'I 4/m m m'
_space_group_IT_number 139
_space_group_name_Hall '-I 4 2'
loop_
_atom_site_label
_atom_site_fract_x
_atom_site_fract_y
_atom_site_fract_z
_atom_site_occupancy
Dy1 0.228 0.228 0.000 1
Tm1 0.000 0.207 0.288 1
Tm2 0.000 0.500 0.250 1
Zr1 0.000 0.000 0.000 1
```

[12]
ZrNi2P: relaxed, PBE-GGA.

magnetic moment: 0.000 μB/atom
energy of formation from the pure elements: -847 meV/atom

The structure in CIF format:
```
data_ZrNi2P
_cell_length_a 13.707
_cell_length_b 6.403
_cell_length_c 4.932
_cell_angle_alpha 90.00
_cell_angle_beta 90.00
_cell_angle_gamma 90.00
_space_group_name_H-M_alt 'P n m a'
_space_group_IT_number 62
_space_group_name_Hall '-P 2ac 2n'
loop_
_atom_site_label
_atom_site_fract_x
_atom_site_fract_y
_atom_site_fract_z
_atom_site_occupancy
Zr1 0.104 0.250 0.247 1
Zr2 0.141 0.750 0.485 1
Ni1 0.036 0.054 0.741 1
Ni2 0.214 0.552 0.967 1
P1 0.071 0.750 0.993 1
P2 0.182 0.250 0.733 1
```